Material: Tb2DyIn3CuAu2
Method: DFT, PBE
State: relaxed

Its volume is 22.560 Å³/atom. Its space group is Amm2. Its total energy is -38.35 eV per formula unit.

Lattice parameters (Å, degrees): 3.874 7.778 7.778 119.95 90.00 90.00
Sites, in units of the cell vectors:
Tb1 0.000 0.201 0.799
Tb2 0.000 0.799 0.201
Dy1 0.000 0.603 0.603
In1 0.500 0.201 0.452
In2 0.500 0.452 0.201
In3 0.500 0.951 0.951
Cu1 0.000 0.201 0.201
Au1 0.500 0.535 0.867
Au2 0.500 0.867 0.535